# PBE with a Hubbard U Mn3RuBr2O6, optimized geometry
data_Mn3RuBr2O6
_space_group_name_H-M_alt 'C 1 2/m 1'
_space_group_IT_number 12
_cell_length_a 10.2531
_cell_length_b 6.1721
_cell_length_c 5.8150
_cell_angle_alpha 90.00
_cell_angle_beta 105.22
_cell_angle_gamma 90.00
loop_
_space_group_symop_operation_xyz
'x,y,z'
'-x,-y,-z'
'-x,y,-z'
'x,-y,z'
'x+1/2,y+1/2,z'
'-x+1/2,-y+1/2,-z'
'-x+1/2,y+1/2,-z'
'x+1/2,-y+1/2,z'
loop_
_atom_site_label
_atom_site_fract_x
_atom_site_fract_y
_atom_site_fract_z
Mn1 0.0000 0.0000 0.0000
Mn2 0.2500 0.2500 0.5000
Ru1 0.0000 0.5000 0.5000
Br1 0.2155 0.0000 0.8448
O1 0.0599 0.2704 0.3148
O2 0.2015 0.5000 0.6574
# - E: -153.17 eV for the cell shown